Record 1
# NbTcCF2

A geometry-optimized NbTcCF2 structure (PBE, Alexandria).

Results
* magnetic moment: 0.000 Bohr magnetons per cell
* relative energy among the computed polymorphs: 377 meV/atom
* volume: 12.7 Å³ per atom
* total energy: -30.3 eV/cell
* space group: P4/mmm, No. 123
* energy relative to the elements, uncorrected: 0.62 eV/atom

Cell lengths 3.786, 3.786, 4.414 Å; angles 90.00, 90.00, 90.00 degrees
Element x y z (fractional)
Nb: 0.000 0.000 0.000
Tc: 0.500 0.500 0.000
C: 0.500 0.500 0.500
F: 0.000 0.500 0.500
F: 0.500 0.000 0.500


Record 2
# AlZn2MoOs

A geometry-optimized AlZn2MoOs structure (PBE, Alexandria).

Results
* magnetic moment: 2.478 Bohr magnetons per cell
* volume: 18.0 Å³ per atom
* DFT formation energy: 1.3301 eV per atom
* total energy: -21.7 eV/cell
* space group: P4/mmm, No. 123

Cell lengths 4.462, 4.462, 4.522 Å; angles 90.00, 90.00, 90.00 degrees
Element x y z (fractional)
Al: 0.000 0.000 0.000
Zn: 0.000 0.500 0.000
Zn: 0.500 0.000 0.000
Mo: 0.500 0.500 0.500
Os: 0.000 0.000 0.500


Record 3
# CrIn2Au

A geometry-optimized CrIn2Au structure (PBE, Alexandria).

Results
* magnetic moment: 3.575 Bohr magnetons per cell
* relative energy among the computed polymorphs: 103 meV/atom
* volume: 21.3 Å³ per atom
* DFT formation energy: 0.2184 eV per atom
* total energy: -17.5 eV/cell
* space group: R3m, No. 160

Cell lengths 9.166, 9.166, 9.166 Å; angles 20.85, 20.85, 20.85 degrees
Element x y z (fractional)
Cr: 0.000 0.000 0.000
In: 0.512 0.512 0.512
In: 0.747 0.747 0.747
Au: 0.262 0.262 0.262


Record 4
# BeZnSeN2

A geometry-optimized BeZnSeN2 structure (PBE, Alexandria).

Results
* magnetic moment: 1.941 Bohr magnetons per cell
* relative energy among the computed polymorphs: 0 meV/atom
* volume: 14.5 Å³ per atom
* total energy: -20.3 eV/cell
* space group: P4/mmm, No. 123
* energy relative to the elements, uncorrected: 0.97 eV/atom

Cell lengths 3.459, 3.459, 6.072 Å; angles 90.00, 90.00, 90.00 degrees
Element x y z (fractional)
Be: 0.000 0.000 0.000
Zn: 0.500 0.500 0.500
Se: 0.000 0.000 0.500
N: 0.000 0.500 0.000
N: 0.500 0.000 0.000


Record 5
# AcNdRh

A geometry-optimized AcNdRh structure (PBE, Alexandria).

Results
* magnetic moment: 0.000 Bohr magnetons per cell
* relative energy among the computed polymorphs: 14 meV/atom
* volume: 33.8 Å³ per atom
* DFT formation energy: -0.4997 eV per atom
* total energy: -70.9 eV/cell
* space group: P2_1/c, No. 14

Cell lengths 6.825, 7.303, 10.380 Å; angles 90.00, 128.38, 90.00 degrees
Element x y z (fractional)
Ac: 0.143 0.083 0.383
Ac: 0.143 0.417 0.883
Ac: 0.857 0.583 0.117
Ac: 0.857 0.917 0.617
Nd: 0.375 0.579 0.617
Nd: 0.375 0.921 0.117
Nd: 0.625 0.079 0.883
Nd: 0.625 0.421 0.383
Rh: 0.363 0.744 0.360
Rh: 0.363 0.756 0.860
Rh: 0.637 0.244 0.140
Rh: 0.637 0.256 0.640


Record 6
# CsPuCl2O

A geometry-optimized CsPuCl2O structure (PBE, Alexandria).

Results
* magnetic moment: 5.000 Bohr magnetons per cell
* volume: 28.4 Å³ per atom
* total energy: -34.8 eV/cell
* space group: P4/mmm, No. 123
* energy relative to the elements, uncorrected: -2.20 eV/atom

Cell lengths 5.764, 5.764, 4.272 Å; angles 90.00, 90.00, 90.00 degrees
Element x y z (fractional)
Cs: 0.000 0.000 0.000
Pu: 0.500 0.500 0.500
Cl: 0.000 0.500 0.500
Cl: 0.500 0.000 0.500
O: 0.500 0.500 0.000


Record 7
# Fe2CoOs

A geometry-optimized Fe2CoOs structure (PBE, Alexandria).

Results
* magnetic moment: 4.829 Bohr magnetons per cell
* volume: 12.0 Å³ per atom
* DFT formation energy: 0.1329 eV per atom
* total energy: -34.7 eV/cell
* space group: Pmmm, No. 47

Cell lengths 2.609, 3.586, 5.110 Å; angles 90.00, 90.00, 90.00 degrees
Element x y z (fractional)
Fe: 0.000 0.000 0.242
Fe: 0.000 0.000 0.758
Co: 0.500 0.500 0.000
Os: 0.500 0.500 0.500


Record 8
# ReTePt3

A geometry-optimized ReTePt3 structure (PBE, Alexandria).

Results
* magnetic moment: 0.000 Bohr magnetons per cell
* relative energy among the computed polymorphs: 0 meV/atom
* volume: 22.9 Å³ per atom
* total energy: -28.1 eV/cell
* space group: Pm-3m, No. 221
* energy relative to the elements, uncorrected: 1.13 eV/atom

Cell lengths 4.853, 4.853, 4.853 Å; angles 90.00, 90.00, 90.00 degrees
Element x y z (fractional)
Re: 0.000 0.000 0.000
Te: 0.500 0.500 0.500
Pt: 0.000 0.000 0.500
Pt: 0.000 0.500 0.000
Pt: 0.500 0.000 0.000


Values for DOS at the Fermi energy, states/eV per cell, ordered as above
2.44; 4.96; 2.02; 1.92; 9.01; 8.72; 5.38; 4.81